(1)
DFT (PBE) results for a geometry-optimized Sm3Y8Ho2 structure.

Calculated values
- Crystal system: orthorhombic
- Total DFT energy (no corrections): -143.7 eV per cell

Lattice parameters (Å, degrees): 7.710 20.115 5.678 90.00 90.00 90.00
Space group Cmmm (No. 65)
Asymmetric unit:
Sm1 0.000 0.000 0.000 x2
Sm2 0.211 0.500 0.500 x4
Y1 0.000 0.134 0.500 x4
Y2 0.000 0.328 0.500 x4
Y3 0.210 0.392 0.000 x8
Ho1 0.000 0.241 0.000 x4

(2)
DFT (PBE) results for a geometry-optimized Sm2Y7Ho2 structure.

Calculated values
- Crystal system: monoclinic
- Offset from the most stable computed form: 0.000 eV per atom

Lattice parameters (Å, degrees): 8.962 9.500 8.713 90.00 101.97 90.00
Space group C2/m (No. 12)
Asymmetric unit:
Sm1 0.000 0.177 0.000 x4
Y1 0.000 0.500 0.500 x2
Y2 0.151 0.500 0.907 x4
Y3 0.236 0.183 0.706 x8
Ho1 0.105 0.000 0.355 x4

(3)
DFT (PBE) results for a geometry-optimized SmYHoZn structure.

Calculated values
- Crystal system: tetragonal
- Offset from the most stable computed form: 0.000 eV per atom

Lattice parameters (Å, degrees): 3.578 3.578 8.693 90.00 90.00 90.00
Space group P4mm (No. 99)
Asymmetric unit:
Sm1 0.000 0.000 0.000 x1
Y1 0.500 0.500 0.700 x1
Ho1 0.500 0.500 0.294 x1
Zn1 0.000 0.000 0.494 x1

(4)
DFT (PBE) results for a geometry-optimized SmYHoZn structure.

Calculated values
- Crystal system: cubic
- Offset from the most stable computed form: 0.208 eV per atom

Lattice parameters (Å, degrees): 7.591 7.591 7.591 90.00 90.00 90.00
Space group F-43m (No. 216)
Asymmetric unit:
Sm1 0.000 0.000 0.000 x4
Y1 0.000 0.000 0.500 x4
Ho1 0.250 0.250 0.250 x4
Zn1 0.250 0.250 0.750 x4

(5)
DFT (PBE) results for a geometry-optimized Sm3Y2Ho6Zr structure.

Calculated values
- Crystal system: monoclinic
- Total DFT energy (no corrections): -125.1 eV per cell

Lattice parameters (Å, degrees): 6.117 10.578 11.651 90.00 100.01 90.00
Space group C2/m (No. 12)
Asymmetric unit:
Sm1 0.000 0.000 0.000 x2
Sm2 0.000 0.334 0.000 x4
Y1 0.000 0.167 0.500 x4
Ho1 0.244 0.337 0.743 x8
Ho2 0.245 0.500 0.257 x4
Zr1 0.000 0.500 0.500 x2

(6)
DFT (PBE) results for a geometry-optimized Sm2Y6Ho3Zr structure.

Calculated values
- Crystal system: monoclinic
- Total DFT energy (no corrections): -139.7 eV per cell

Lattice parameters (Å, degrees): 6.123 10.590 11.699 90.00 99.97 90.00
Space group C2/m (No. 12)
Asymmetric unit:
Sm1 0.000 0.167 0.000 x4
Y1 0.244 0.500 0.754 x4
Y2 0.246 0.337 0.247 x8
Ho1 0.000 0.000 0.500 x2
Ho2 0.000 0.334 0.500 x4
Zr1 0.000 0.500 0.000 x2

(7)
DFT (PBE) results for a geometry-optimized Sm2Y3Ho6Zr structure.

Calculated values
- Crystal system: monoclinic
- Total DFT energy (no corrections): -128.5 eV per cell

Lattice parameters (Å, degrees): 6.103 10.555 11.666 90.00 99.97 90.00
Space group C2/m (No. 12)
Asymmetric unit:
Sm1 0.000 0.167 0.000 x4
Y1 0.000 0.000 0.500 x2
Y2 0.000 0.334 0.500 x4
Ho1 0.244 0.500 0.755 x4
Ho2 0.245 0.337 0.245 x8
Zr1 0.000 0.500 0.000 x2

(8)
DFT (PBE) results for a geometry-optimized Sm2Ho2Zn structure.

Calculated values
- Crystal system: tetragonal
- Offset from the most stable computed form: 0.142 eV per atom

Lattice parameters (Å, degrees): 4.980 4.980 24.677 90.00 90.00 90.00
Space group I4_1/amd (No. 141, origin choice 2)
Asymmetric unit:
Sm1 0.000 0.250 0.057 x8
Ho1 0.000 0.250 0.200 x8
Zn1 0.000 0.250 0.375 x4

(9)
DFT (PBE) results for a geometry-optimized SmHoZn3 structure.

Calculated values
- Crystal system: monoclinic
- Total DFT energy (no corrections): -57.3 eV per cell

Lattice parameters (Å, degrees): 14.322 4.868 6.354 90.00 99.96 90.00
Space group C2/m (No. 12)
Asymmetric unit:
Sm1 0.113 0.000 0.451 x4
Ho1 0.181 0.500 0.107 x4
Zn1 0.014 0.500 0.716 x4
Zn2 0.077 0.000 0.909 x4
Zn3 0.198 0.500 0.654 x4

(10)
DFT (PBE) results for a geometry-optimized Sm3Ho4Zn4 structure.

Calculated values
- Crystal system: orthorhombic
- Total DFT energy (no corrections): -78.1 eV per cell

Lattice parameters (Å, degrees): 5.076 7.123 16.073 90.00 90.00 90.00
Space group Immm (No. 71)
Asymmetric unit:
Sm1 0.000 0.000 0.000 x2
Sm2 0.000 0.500 0.104 x4
Ho1 0.000 0.271 0.322 x8
Zn1 0.000 0.000 0.188 x4
Zn2 0.000 0.181 0.500 x4

| no. | V (Å³ per cell) | magnetization (μB per formula unit) |
| --- | --- | --- |
| 1 | 880.5 | 0.00 |
| 2 | 725.7 | 0.00 |
| 3 | 111.3 | 0.00 |
| 4 | 437.5 | 0.00 |
| 5 | 742.4 | 0.00 |
| 6 | 747.2 | 0.00 |
| 7 | 740.1 | 0.00 |
| 8 | 611.9 | 0.00 |
| 9 | 436.3 | 0.00 |
| 10 | 581.1 | 0.00 |